(1)
RuBr3Cl after structural relaxation, computed with GGA-PBE.

The total DFT energy (no corrections) is -0.220 Ry/atom. As for the raw formation energy: 0.239 eV per atom. The total magnetic moment comes out at 0.344 μB/atom. As for the symmetry: No. 221.

```
5
Lattice="5.039 0.000 0.000 0.000 5.039 0.000 0.000 0.000 5.039" Properties=species:S:1:pos:R:3 pbc="T T T"
Ru 0.000 0.000 0.000
Br 0.000 0.000 2.520
Br 0.000 2.520 0.000
Br 2.520 0.000 0.000
Cl 2.520 2.520 2.520
```

(2)
RuSBrCl2 after structural relaxation, computed with GGA-PBE.

The total DFT energy (no corrections) is -0.184 Ry/atom. As for the raw formation energy: 1.250 eV per atom. The total magnetic moment comes out at 0.667 μB/atom. As for the symmetry: No. 123.

```
5
Lattice="5.137 0.000 0.000 0.000 5.137 0.000 0.000 0.000 4.933" Properties=species:S:1:pos:R:3 pbc="T T T"
Ru 0.000 0.000 0.000
S 2.568 2.568 0.000
Br 2.568 2.568 2.467
Cl 0.000 2.568 2.467
Cl 2.568 0.000 2.467
```